No. 1
Density functional theory data (GGA-PBE) for a geometry-optimized TbHoSe3 structure.

Cell and atoms, written as CIF:
```
data_TbHoSe3
_symmetry_space_group_name_H-M 'P 1 21/m 1'
_symmetry_Int_Tables_number 11
_cell_length_a 8.0574
_cell_length_b 4.0441
_cell_length_c 8.1681
_cell_angle_alpha 90.00
_cell_angle_beta 94.83
_cell_angle_gamma 90.00
loop_
_symmetry_equiv_pos_as_xyz
'x,y,z'
'-x,-y,-z'
'-x,y+1/2,-z'
'x,-y+1/2,z'
loop_
_atom_site_label
_atom_site_type_symbol
_atom_site_fract_x
_atom_site_fract_y
_atom_site_fract_z
Tb1 Tb 0.1168 0.2500 0.2696
Ho1 Ho 0.3556 0.7500 0.8195
Se1 Se 0.1216 0.2500 0.8889
Se2 Se 0.1805 0.7500 0.5189
Se3 Se 0.3929 0.7500 0.1795
```

Calculated values
ΔE to the lowest computed polymorph = 9 meV per atom
Formation energy (no corrections) = -1844 meV per atom


No. 2
Density functional theory data (GGA-PBE) for a geometry-optimized Sc2Sb2Pb structure.

Cell and atoms, written as CIF:
```
data_Sc2Sb2Pb
_symmetry_space_group_name_H-M 'I 4/m m m'
_symmetry_Int_Tables_number 139
_symmetry_space_group_name_Hall '-I 4 2'
_cell_length_a 5.4748
_cell_length_b 5.4748
_cell_length_c 9.5028
_cell_angle_alpha 90.00
_cell_angle_beta 90.00
_cell_angle_gamma 90.00
loop_
_atom_site_label
_atom_site_type_symbol
_atom_site_fract_x
_atom_site_fract_y
_atom_site_fract_z
Sc1 Sc 0.0000 0.5000 0.2500
Sb1 Sb 0.0000 0.0000 0.1551
Pb1 Pb 0.0000 0.0000 0.5000
```

Calculated values
ΔE to the lowest computed polymorph = 163 meV per atom
Formation energy (no corrections) = -368 meV per atom


No. 3
Density functional theory data (GGA-PBE) for a geometry-optimized Tb2ScTe3 structure.

Cell and atoms, written as CIF:
```
data_Tb2ScTe3
_symmetry_space_group_name_H-M 'I m m m'
_symmetry_Int_Tables_number 71
_symmetry_space_group_name_Hall '-I 2 2'
_cell_length_a 4.3144
_cell_length_b 6.0890
_cell_length_c 12.9163
_cell_angle_alpha 90.00
_cell_angle_beta 90.00
_cell_angle_gamma 90.00
loop_
_atom_site_label
_atom_site_type_symbol
_atom_site_fract_x
_atom_site_fract_y
_atom_site_fract_z
Tb1 Tb 0.0000 0.0000 0.1742
Sc1 Sc 0.0000 0.0000 0.5000
Te1 Te 0.0000 0.5000 0.1559
Te2 Te 0.0000 0.5000 0.5000
```

Calculated values
Formation energy (no corrections) = -1231 meV per atom


No. 4
Density functional theory data (GGA-PBE) for a geometry-optimized Al2GaSe structure.

Cell and atoms, written as CIF:
```
data_Al2GaSe
_symmetry_space_group_name_H-M 'F m -3 m'
_symmetry_Int_Tables_number 225
_symmetry_space_group_name_Hall '-F 4 2 3'
_cell_length_a 6.6705
_cell_length_b 6.6705
_cell_length_c 6.6705
_cell_angle_alpha 90.00
_cell_angle_beta 90.00
_cell_angle_gamma 90.00
loop_
_atom_site_label
_atom_site_type_symbol
_atom_site_fract_x
_atom_site_fract_y
_atom_site_fract_z
Al1 Al 0.2500 0.2500 0.2500
Ga1 Ga 0.0000 0.0000 0.0000
Se1 Se 0.0000 0.0000 0.5000
```

Calculated values
ΔE to the lowest computed polymorph = 239 meV per atom
Formation energy (no corrections) = 141 meV per atom


No. 5
Density functional theory data (GGA-PBE) for a geometry-optimized K2TcPb structure.

Cell and atoms, written as CIF:
```
data_K2TcPb
_symmetry_space_group_name_H-M 'P 1 m 1'
_symmetry_Int_Tables_number 6
_cell_length_a 3.3716
_cell_length_b 4.3219
_cell_length_c 10.2293
_cell_angle_alpha 90.00
_cell_angle_beta 90.52
_cell_angle_gamma 90.00
loop_
_symmetry_equiv_pos_as_xyz
'x,y,z'
'x,-y,z'
loop_
_atom_site_label
_atom_site_type_symbol
_atom_site_fract_x
_atom_site_fract_y
_atom_site_fract_z
K1 K 0.0000 0.0000 0.0000
K2 K 0.4714 0.5000 0.4035
Tc1 Tc 0.9908 0.5000 0.7121
Pb1 Pb 0.4907 0.0000 0.6902
```

Calculated values
E_form = 0.5875 eV/atom


No. 6
Density functional theory data (GGA-PBE) for a geometry-optimized Pa2Si3Rh structure.

Cell and atoms, written as CIF:
```
data_Pa2Si3Rh
_symmetry_space_group_name_H-M 'F m m m'
_symmetry_Int_Tables_number 69
_symmetry_space_group_name_Hall '-F 2 2'
_cell_length_a 7.9178
_cell_length_b 8.1665
_cell_length_c 14.0728
_cell_angle_alpha 90.00
_cell_angle_beta 90.00
_cell_angle_gamma 90.00
loop_
_atom_site_label
_atom_site_type_symbol
_atom_site_fract_x
_atom_site_fract_y
_atom_site_fract_z
Pa1 Pa 0.2504 0.0000 0.0000
Pa2 Pa 0.2500 0.2500 0.2500
Si1 Si 0.0000 0.0000 0.1656
Si2 Si 0.0000 0.2466 0.0827
Rh1 Rh 0.0000 0.0000 0.3341
```

Calculated values
Formation energy (no corrections) = -756 meV per atom


No. 7
Density functional theory data (GGA-PBE) for a geometry-optimized SmDy2Ru3 structure.

Cell and atoms, written as CIF:
```
data_SmDy2Ru3
_symmetry_space_group_name_H-M 'C m m m'
_symmetry_Int_Tables_number 65
_symmetry_space_group_name_Hall '-C 2 2'
_cell_length_a 4.8269
_cell_length_b 14.5096
_cell_length_c 3.4314
_cell_angle_alpha 90.00
_cell_angle_beta 90.00
_cell_angle_gamma 90.00
loop_
_atom_site_label
_atom_site_type_symbol
_atom_site_fract_x
_atom_site_fract_y
_atom_site_fract_z
Sm1 Sm 0.0000 0.0000 0.0000
Dy1 Dy 0.0000 0.3322 0.0000
Ru1 Ru 0.0000 0.1686 0.5000
Ru2 Ru 0.0000 0.5000 0.5000
```

Calculated values
E_form = -0.2641 eV/atom


No. 8
Density functional theory data (GGA-PBE) for a geometry-optimized CaAlCu2 structure.

Cell and atoms, written as CIF:
```
data_CaAlCu2
_symmetry_space_group_name_H-M 'P 4/m m m'
_symmetry_Int_Tables_number 123
_symmetry_space_group_name_Hall '-P 4 2'
_cell_length_a 3.2471
_cell_length_b 3.2471
_cell_length_c 6.6854
_cell_angle_alpha 90.00
_cell_angle_beta 90.00
_cell_angle_gamma 90.00
loop_
_atom_site_label
_atom_site_type_symbol
_atom_site_fract_x
_atom_site_fract_y
_atom_site_fract_z
Ca1 Ca 0.0000 0.0000 0.0000
Al1 Al 0.0000 0.0000 0.5000
Cu1 Cu 0.5000 0.5000 0.3089
```

Calculated values
E_form = -0.0766 eV/atom


No. 9
Density functional theory data (GGA-PBE) for a geometry-optimized InFeCu2Se4 structure.

Cell and atoms, written as CIF:
```
data_InFeCu2Se4
_symmetry_space_group_name_H-M 'I -4 2 m'
_symmetry_Int_Tables_number 121
_symmetry_space_group_name_Hall 'I -4 2'
_cell_length_a 5.7515
_cell_length_b 5.7515
_cell_length_c 11.3057
_cell_angle_alpha 90.00
_cell_angle_beta 90.00
_cell_angle_gamma 90.00
loop_
_atom_site_label
_atom_site_type_symbol
_atom_site_fract_x
_atom_site_fract_y
_atom_site_fract_z
In1 In 0.0000 0.0000 0.0000
Fe1 Fe 0.0000 0.0000 0.5000
Cu1 Cu 0.0000 0.5000 0.2500
Se1 Se 0.2315 0.2315 0.6330
```

Calculated values
Formation energy (no corrections) = -303 meV per atom


No. 10
Density functional theory data (GGA-PBE) for a geometry-optimized Hg2PdPt2 structure.

Cell and atoms, written as CIF:
```
data_Hg2PdPt2
_symmetry_space_group_name_H-M 'P 4/m b m'
_symmetry_Int_Tables_number 127
_symmetry_space_group_name_Hall '-P 4 2ab'
_cell_length_a 6.9336
_cell_length_b 6.9336
_cell_length_c 3.9698
_cell_angle_alpha 90.00
_cell_angle_beta 90.00
_cell_angle_gamma 90.00
loop_
_atom_site_label
_atom_site_type_symbol
_atom_site_fract_x
_atom_site_fract_y
_atom_site_fract_z
Hg1 Hg 0.1717 0.3283 0.0000
Pd1 Pd 0.0000 0.0000 0.5000
Pt1 Pt 0.1331 0.6331 0.5000
```

Calculated values
E_form = 0.0567 eV/atom
ΔE to the lowest computed polymorph = 0 meV per atom


No. 11
Density functional theory data (GGA-PBE) for a geometry-optimized MnSi2B structure.

Cell and atoms, written as CIF:
```
data_MnSi2B
_symmetry_space_group_name_H-M 'I -4 2 d'
_symmetry_Int_Tables_number 122
_symmetry_space_group_name_Hall 'I -4 2bw'
_cell_length_a 6.7164
_cell_length_b 6.7164
_cell_length_c 4.3844
_cell_angle_alpha 90.00
_cell_angle_beta 90.00
_cell_angle_gamma 90.00
loop_
_atom_site_label
_atom_site_type_symbol
_atom_site_fract_x
_atom_site_fract_y
_atom_site_fract_z
Mn1 Mn 0.0000 0.0000 0.0000
Si1 Si 0.1616 0.7500 0.6250
B1 B 0.0000 0.0000 0.5000
```

Calculated values
Formation energy (no corrections) = 294 meV per atom


No. 12
Density functional theory data (GGA-PBE) for a geometry-optimized Hf2TlPt9 structure.

Cell and atoms, written as CIF:
```
data_Hf2TlPt9
_symmetry_space_group_name_H-M 'P 4/m m m'
_symmetry_Int_Tables_number 123
_symmetry_space_group_name_Hall '-P 4 2'
_cell_length_a 4.0482
_cell_length_b 4.0482
_cell_length_c 12.1961
_cell_angle_alpha 90.00
_cell_angle_beta 90.00
_cell_angle_gamma 90.00
loop_
_atom_site_label
_atom_site_type_symbol
_atom_site_fract_x
_atom_site_fract_y
_atom_site_fract_z
Hf1 Hf 0.0000 0.0000 0.1674
Tl1 Tl 0.0000 0.0000 0.5000
Pt1 Pt 0.0000 0.5000 0.0000
Pt2 Pt 0.0000 0.5000 0.3242
Pt3 Pt 0.5000 0.5000 0.1634
Pt4 Pt 0.5000 0.5000 0.5000
```

Calculated values
E_form = -0.7963 eV/atom


Calculated volume (Å³/f.u.)
132.6; 142.4; 169.7; 74.2; 149.1; 113.7; 120.2; 70.5; 187.0; 95.4; 49.4; 199.9